This record from Alexandria describes an optimized crystal structure of BeAu. The functional is PBE-GGA.

Values from the calculation:
* calculated volume: 52.35 Å³/cell
* total magnetic moment: 0.00 μB/f.u.
* ΔH_f (0 K): -109 meV/atom
* N(E_F): 0.200 states/eV/atom

abc: 2.9576 3.8776 4.7876
angles: 90.00 107.56 90.00
Space group P2_1/m (No. 11)
Inequivalent atoms, fractional coordinates:
Be  0.0720  0.2500  0.1473 (multiplicity 2)
Au  0.3551  0.2500  0.7073 (multiplicity 2)